LiSn2F (GGA-PBE, optimized geometry); ΔE_f (raw) = -0.67 eV/atom; space group = I-42d, No. 122
1.0
4.088 0.000 0.000
0.000 4.088 0.000
0.000 0.000 22.083
Li Sn F
4 8 4
Cartesian
0.000 0.000 0.000
0.000 2.044 5.521
2.044 0.000 16.563
2.044 2.044 11.042
1.018 1.022 13.802
1.022 3.062 19.323
1.022 3.070 8.281
1.026 1.022 2.760
3.062 3.066 2.760
3.066 1.018 8.281
3.066 1.026 19.323
3.070 3.066 13.802
0.000 0.000 11.042
0.000 2.044 16.563
2.044 0.000 5.521
2.044 2.044 0.000